(1)
Density functional theory data (PBE) for a geometry-optimized Tb6Ir2Pb structure. Values from VASP.

```
&SYSTEM
  ibrav = 0, nat = 18, ntyp = 3
/
ATOMIC_SPECIES
Tb 158.93 Tb.upf
Ir 192.22 Ir.upf
Pb 207.20 Pb.upf
ATOMIC_POSITIONS angstrom
Tb -1.173 -6.255 0.867
Tb -2.090 -1.058 2.259
Tb 2.683 -5.831 -0.232
Tb -5.945 -1.482 3.358
Tb -3.786 -4.200 2.491
Tb 0.523 -3.113 0.635
Tb 0.366 -8.047 -1.820
Tb -3.629 0.734 4.947
Tb -0.346 -3.897 3.870
Tb -2.916 -3.416 -0.743
Tb -3.017 -6.590 -2.323
Tb -0.245 -0.722 5.450
Ir 1.311 -5.591 2.443
Ir -4.573 -1.722 0.683
Ir 1.886 -2.814 5.533
Ir 0.957 -1.428 2.807
Pb -0.150 -4.693 -2.336
Pb 0.000 0.000 0.000
CELL_PARAMETERS angstrom
-2.963 2.074 7.798
-6.106 -3.071 -5.214
5.806 -6.316 0.542
```

Computed properties:
The space group is Immm. The calculation puts the density of states at the Fermi level at 0.86 states/eV per atom. The electronic total energy is -109.301 eV/cell. As for the size of the total moment: 0.000 Bohr magnetons per cell. The calculation puts the formation enthalpy at 0 K at -0.60 eV per atom. As for the theoretical density: 10.55 g cm⁻³.

---

(2)
Density functional theory data (PBE) for a geometry-optimized Tb3IrPb structure. Values from VASP.

```
&SYSTEM
  ibrav = 0, nat = 10, ntyp = 3
/
ATOMIC_SPECIES
Tb 158.93 Tb.upf
Ir 192.22 Ir.upf
Pb 207.20 Pb.upf
ATOMIC_POSITIONS angstrom
Tb 3.310 -0.088 7.477
Tb 6.511 -0.189 1.017
Tb 5.504 -0.840 4.541
Tb 2.961 -1.225 1.582
Tb 5.155 -1.977 -1.354
Tb 1.953 -1.877 5.106
Ir 3.064 -3.577 3.297
Ir 5.401 1.511 2.826
Pb 5.505 -3.242 1.648
Pb 2.959 1.176 4.475
CELL_PARAMETERS angstrom
-1.030 -4.182 3.745
6.656 -1.626 -2.582
2.838 3.742 4.960
```

Computed properties:
The space group is P2_1/m. The calculation puts the density of states at the Fermi level at 0.66 states/eV per atom. The electronic total energy is -58.486 eV/cell. As for the size of the total moment: 0.000 Bohr magnetons per cell. The calculation puts the formation enthalpy at 0 K at -0.56 eV per atom. As for the theoretical density: 10.48 g cm⁻³.

---

(3)
Density functional theory data (PBE) for a geometry-optimized Tb4IrPb structure. Values from VASP.

```
&SYSTEM
  ibrav = 0, nat = 12, ntyp = 3
/
ATOMIC_SPECIES
Tb 158.93 Tb.upf
Ir 192.22 Ir.upf
Pb 207.20 Pb.upf
ATOMIC_POSITIONS angstrom
Tb -1.853 -1.697 5.843
Tb 1.998 3.095 4.495
Tb -1.195 1.885 5.843
Tb -0.982 5.123 4.495
Tb 3.013 -1.108 2.308
Tb 3.226 2.130 0.960
Tb 0.034 0.920 2.308
Tb 3.884 5.712 0.960
Ir 1.524 -0.094 0.008
Ir 0.508 4.109 6.795
Pb 0.508 4.109 1.753
Pb 1.524 -0.094 5.050
CELL_PARAMETERS angstrom
6.095 -0.376 0.000
-2.031 8.405 0.000
-2.032 -4.015 6.803
```

Computed properties:
The space group is C2/c. The calculation puts the density of states at the Fermi level at 0.87 states/eV per atom. The electronic total energy is -68.736 eV/cell. As for the size of the total moment: 0.000 Bohr magnetons per cell. The calculation puts the formation enthalpy at 0 K at -0.55 eV per atom. As for the theoretical density: 10.01 g cm⁻³.